Entry 1:
PBE-GGA BaSi2B, optimized geometry; DOS at the Fermi energy = 1.48 states/eV/f.u.; raw formation energy = 0.16 eV/atom; uncorrected energy = -18.82 eV/f.u.
1.0
4.900 0.000 0.000
0.000 4.900 0.000
2.450 2.450 7.272
Si B Ba
4 2 2
direct
0.375 0.625 0.750 Si
0.375 0.125 0.250 Si
0.375 0.625 0.250 Si
0.875 0.625 0.750 Si
0.250 0.750 0.500 B
0.500 0.500 0.000 B
0.000 0.000 0.000 Ba
0.750 0.250 0.500 Ba

=====

Entry 2:
PBE-GGA ZrInBr2, optimized geometry; DOS at the Fermi energy = 2.80 states/eV/f.u.; raw formation energy = -0.68 eV/atom; uncorrected energy = -17.33 eV/f.u.
1.0
-8.500 -5.198 1.463
-6.478 -6.562 4.047
-8.243 -3.525 4.588
In Br Zr
1 2 1
direct
0.497 0.497 0.497 In
0.232 0.232 0.232 Br
0.021 0.021 0.021 Br
0.750 0.750 0.750 Zr

=====

Entry 3:
PBE-GGA Cs2GaPBr6, optimized geometry; DOS at the Fermi energy = 0.00 states/eV/f.u.; raw formation energy = -0.97 eV/atom; uncorrected energy = -29.89 eV/f.u.
1.0
7.861 0.000 0.000
0.000 7.861 0.000
3.930 3.930 5.552
Cs Br Ga P
2 6 1 1
direct
0.250 0.750 0.500 Cs
0.750 0.250 0.500 Cs
0.736 0.736 0.529 Br
0.264 0.264 0.471 Br
0.735 0.265 0.000 Br
0.265 0.265 0.000 Br
0.265 0.735 0.000 Br
0.735 0.735 0.000 Br
0.000 0.000 0.000 Ga
0.500 0.500 0.000 P

=====

Entry 4:
PBE-GGA Li3Sb2P3O12, optimized geometry; DOS at the Fermi energy = 0.00 states/eV/f.u.; raw formation energy = -2.03 eV/atom; uncorrected energy = -130.25 eV/f.u.
1.0
8.524 -0.082 0.011
3.230 7.889 0.011
3.403 2.260 7.538
P O Sb Li
6 24 4 6
direct
0.406 0.245 0.077 P
0.899 0.101 0.250 P
0.101 0.899 0.750 P
0.594 0.755 0.923 P
0.755 0.594 0.423 P
0.245 0.406 0.577 P
0.916 0.947 0.190 O
0.399 0.231 0.609 O
0.397 0.103 0.265 O
0.173 0.396 0.446 O
0.113 0.721 0.909 O
0.769 0.601 0.891 O
0.311 0.570 0.518 O
0.053 0.084 0.310 O
0.084 0.053 0.810 O
0.689 0.430 0.482 O
0.570 0.311 0.018 O
0.231 0.399 0.109 O
0.603 0.897 0.735 O
0.601 0.769 0.391 O
0.827 0.604 0.554 O
0.396 0.173 0.946 O
0.103 0.397 0.765 O
0.430 0.689 0.982 O
0.604 0.827 0.054 O
0.721 0.113 0.409 O
0.887 0.279 0.091 O
0.947 0.916 0.690 O
0.897 0.603 0.235 O
0.279 0.887 0.591 O
0.166 0.645 0.152 Sb
0.645 0.166 0.652 Sb
0.355 0.834 0.348 Sb
0.834 0.355 0.848 Sb
0.137 0.231 0.370 Li
0.769 0.863 0.130 Li
0.863 0.769 0.630 Li
0.231 0.137 0.870 Li
0.500 0.000 0.500 Li
0.000 0.500 0.000 Li

=====

Entry 5:
PBE-GGA Sr2LiPt, optimized geometry; DOS at the Fermi energy = 2.07 states/eV/f.u.; uncorrected energy = -12.27 eV/f.u.; ΔH_f (0 K) = -0.238 eV/atom
1.0
6.243 0.012 0.000
2.885 5.536 0.000
-4.564 -2.774 3.232
Pt Sr Li
1 2 1
direct
0.750 0.250 0.500 Pt
0.000 0.000 0.000 Sr
0.250 0.750 0.500 Sr
0.500 0.500 0.000 Li

=====

Entry 6:
PBE-GGA As2PbCl, optimized geometry; DOS at the Fermi energy = 0.70 states/eV/f.u.; raw formation energy = -0.29 eV/atom; uncorrected energy = -16.02 eV/f.u.
1.0
-2.653 2.493 0.665
-1.737 -2.582 2.753
4.098 2.775 5.952
As Cl Pb
2 1 1
direct
0.000 0.938 0.110 As
0.500 0.320 0.056 As
0.000 0.365 0.582 Cl
0.500 0.877 0.752 Pb

=====

Entry 7:
PBE-GGA Ba4ErBi3O12, optimized geometry; DOS at the Fermi energy = 5.76 states/eV/f.u.; raw formation energy = -2.08 eV/atom; uncorrected energy = -125.08 eV/f.u.
1.0
-6.356 1.617 3.840
-1.808 -2.680 -6.877
3.988 -5.240 3.793
O Ba Bi Er
12 4 3 1
direct
0.750 0.250 0.500 O
0.252 0.000 0.252 O
0.250 0.750 0.500 O
0.750 0.500 0.250 O
0.250 0.500 0.750 O
0.500 0.750 0.250 O
0.000 0.252 0.252 O
0.748 0.000 0.748 O
0.252 0.252 0.000 O
0.500 0.250 0.750 O
0.748 0.748 0.000 O
0.000 0.748 0.748 O
0.000 0.500 0.000 Ba
0.500 0.500 0.500 Ba
0.000 0.000 0.500 Ba
0.500 0.000 0.000 Ba
0.500 0.000 0.500 Bi
0.000 0.500 0.500 Bi
0.500 0.500 0.000 Bi
0.000 0.000 0.000 Er

=====

Entry 8:
PBE-GGA MgAs2Au, optimized geometry; DOS at the Fermi energy = 1.38 states/eV/f.u.; uncorrected energy = -14.40 eV/f.u.; ΔH_f (0 K) = -0.058 eV/atom
1.0
5.325 0.000 0.000
2.120 4.884 0.000
-3.722 -2.442 2.921
Mg Au As
1 1 2
direct
0.750 0.250 0.500 Mg
0.500 0.500 0.000 Au
0.000 0.000 0.000 As
0.250 0.750 0.500 As

=====

Entry 9:
PBE-GGA BaSc2Ta, optimized geometry; DOS at the Fermi energy = 6.06 states/eV/f.u.; uncorrected energy = -23.24 eV/f.u.; ΔH_f (0 K) = 0.799 eV/atom
1.0
1.868 0.000 11.865
-0.934 1.618 11.865
-0.934 -1.618 11.865
Ta Sc Ba
1 2 1
direct
0.000 0.000 0.000 Ta
0.076 0.076 0.076 Sc
0.924 0.924 0.924 Sc
0.500 0.500 0.500 Ba

=====

Entry 10:
PBE-GGA Na2CeCrS4, optimized geometry; DOS at the Fermi energy = 5.69 states/eV/f.u.; raw formation energy = -1.28 eV/atom; uncorrected energy = -44.97 eV/f.u.
1.0
-3.035 0.264 2.448
1.300 -6.016 2.261
3.542 4.666 3.888
Ce Cr S Na
1 1 4 2
direct
0.500 0.500 0.000 Ce
0.000 0.000 0.000 Cr
0.500 0.213 0.209 S
0.000 0.235 0.774 S
0.000 0.765 0.226 S
0.500 0.787 0.791 S
0.500 0.000 0.500 Na
0.000 0.500 0.500 Na

=====

Entry 11:
PBE-GGA PrPb2Cl8, optimized geometry; DOS at the Fermi energy = 8.85 states/eV/f.u.; raw formation energy = -1.35 eV/atom; uncorrected energy = -41.85 eV/f.u.
1.0
-5.313 0.895 -4.596
2.058 -4.047 -6.386
-3.923 -6.782 -0.005
Pb Cl Pr
2 8 1
direct
0.785 0.656 0.656 Pb
0.215 0.344 0.344 Pb
0.244 0.040 0.652 Cl
0.818 0.425 0.425 Cl
0.244 0.652 0.040 Cl
0.265 0.118 0.118 Cl
0.756 0.348 0.960 Cl
0.182 0.575 0.575 Cl
0.756 0.960 0.348 Cl
0.735 0.882 0.882 Cl
0.000 0.000 0.000 Pr

=====

Entry 12:
PBE-GGA Nd3Al3Ag, optimized geometry; DOS at the Fermi energy = 7.26 states/eV/f.u.; uncorrected energy = -30.83 eV/f.u.; ΔH_f (0 K) = -0.349 eV/atom
1.0
0.579 1.165 -4.438
2.862 -2.450 -0.270
-8.234 -6.661 -0.414
Al Nd Ag
3 3 1
direct
0.862 0.362 0.725 Al
0.136 0.636 0.272 Al
0.566 0.566 0.131 Al
0.002 0.002 0.004 Nd
0.306 0.806 0.613 Nd
0.694 0.194 0.387 Nd
0.434 0.434 0.868 Ag

=====

Entry 13:
PBE-GGA CsNaPtBr6, optimized geometry; DOS at the Fermi energy = 0.00 states/eV/f.u.; raw formation energy = -0.89 eV/atom; uncorrected energy = -26.30 eV/f.u.
1.0
-2.514 -5.228 4.448
-0.075 -6.967 -2.211
7.222 -0.999 2.912
Br Pt Na Cs
6 1 1 1
direct
0.607 0.343 0.686 Br
0.049 0.608 0.685 Br
0.343 0.049 0.686 Br
0.343 0.607 0.314 Br
0.608 0.049 0.315 Br
0.049 0.343 0.314 Br
0.333 0.333 0.500 Pt
0.666 0.666 0.500 Na
0.000 0.000 0.000 Cs

=====

Entry 14:
PBE-GGA Ca8H, optimized geometry; DOS at the Fermi energy = 9.93 states/eV/f.u.; uncorrected energy = -19.85 eV/f.u.
1.0
-4.761 -0.172 6.070
-1.742 -3.970 -6.383
3.099 -5.038 2.288
Ca H
8 1
direct
0.667 0.833 0.511 Ca
0.000 0.500 0.989 Ca
0.496 0.492 0.007 Ca
0.496 0.004 0.007 Ca
0.008 0.004 0.007 Ca
0.659 0.329 0.493 Ca
0.171 0.329 0.493 Ca
0.171 0.841 0.493 Ca
0.333 0.167 0.250 H

=====

Entry 15:
PBE-GGA TlP2Se, optimized geometry; DOS at the Fermi energy = 0.97 states/eV/f.u.; raw formation energy = 0.15 eV/atom; uncorrected energy = -16.07 eV/f.u.
1.0
3.261 0.000 0.000
0.000 3.261 0.000
0.000 0.000 8.695
Se Tl P
1 1 2
direct
0.000 0.000 0.449 Se
0.500 0.500 0.747 Tl
0.000 0.000 0.191 P
0.500 0.500 0.113 P

=====

Entry 16:
PBE-GGA Pu2HgIr, optimized geometry; DOS at the Fermi energy = 15.51 states/eV/f.u.; uncorrected energy = -38.48 eV/f.u.; ΔH_f (0 K) = -0.163 eV/atom
1.0
-1.409 -4.205 -2.439
2.080 -4.450 1.219
-2.753 -3.510 2.390
Pu Hg Ir
2 1 1
direct
0.250 0.250 0.250 Pu
0.750 0.750 0.750 Pu
0.000 0.000 0.000 Hg
0.500 0.500 0.500 Ir

=====

Entry 17:
PBE-GGA BeAu2Se, optimized geometry; DOS at the Fermi energy = 0.14 states/eV/f.u.; raw formation energy = -0.04 eV/atom; uncorrected energy = -13.92 eV/f.u.
1.0
5.020 0.096 -0.749
3.760 3.327 -0.749
0.088 0.034 4.970
Au Se Be
2 1 1
direct
0.818 0.818 0.740 Au
0.121 0.121 0.910 Au
0.977 0.977 0.321 Se
0.584 0.584 0.530 Be

=====

Entry 18:
PBE-GGA Mg2Zn, optimized geometry; DOS at the Fermi energy = 1.46 states/eV/f.u.; uncorrected energy = -4.40 eV/f.u.; ΔH_f (0 K) = 0.020 eV/atom
1.0
13.264 0.146 0.000
12.508 4.415 0.000
-12.886 -2.281 2.167
Mg Zn
4 2
direct
0.573 0.573 0.000 Mg
0.427 0.427 0.000 Mg
0.323 0.823 0.500 Mg
0.177 0.677 0.500 Mg
0.000 0.000 0.000 Zn
0.750 0.250 0.500 Zn